Entry 1:
Here is an optimized crystal structure of NaPrEuHg from Alexandria. Energies are from PBE.

## Properties
Formation enthalpy at 0 K ... -0.121 eV per atom
Space-group type ... F-43m
N(E_F) ... 10.0 states/eV/cell
VASP energy ... -4.289 eV per atom

Lattice parameters (Å, degrees): 5.602 5.602 5.602 60.00 60.00 60.00
Fractional coordinates of all 4 atoms:
Na 0.000 0.000 0.000
Eu 0.750 0.750 0.750
Hg 0.500 0.500 0.500
Pr 0.250 0.250 0.250



Entry 2:
Here is an optimized crystal structure of NaEuHgSb from Alexandria. Energies are from PBE.

## Properties
ΔE_f (raw) ... -0.66 eV per atom
Space-group type ... F-43m
VASP energy ... -4.666 eV per atom

Lattice parameters (Å, degrees): 5.442 5.442 5.442 60.00 60.00 60.00
Fractional coordinates of all 4 atoms:
Hg 0.500 0.500 0.500
Na 0.750 0.750 0.750
Sb 0.000 0.000 0.000
Eu 0.250 0.250 0.250



Entry 3:
Here is an optimized crystal structure of NaSmEuHg from Alexandria. Energies are from PBE.

## Properties
Formation enthalpy at 0 K ... -0.103 eV per atom
Space-group type ... F-43m
N(E_F) ... 8.0 states/eV/cell
VASP energy ... -4.256 eV per atom

Lattice parameters (Å, degrees): 5.547 5.547 5.547 60.00 60.00 60.00
Fractional coordinates of all 4 atoms:
Eu 0.000 0.000 0.000
Na 0.750 0.750 0.750
Hg 0.250 0.250 0.250
Sm 0.500 0.500 0.500



Entry 4:
Here is an optimized crystal structure of NaSrEuHg from Alexandria. Energies are from PBE.

## Properties
Formation enthalpy at 0 K ... -0.202 eV per atom
Space-group type ... F-43m
N(E_F) ... 11.4 states/eV/cell
VASP energy ... -3.596 eV per atom

Lattice parameters (Å, degrees): 5.797 5.797 5.797 60.00 60.00 60.00
Fractional coordinates of all 4 atoms:
Sr 0.000 0.000 0.000
Eu 0.500 0.500 0.500
Na 0.750 0.750 0.750
Hg 0.250 0.250 0.250



Entry 5:
Here is an optimized crystal structure of NaTbEuHg from Alexandria. Energies are from PBE.

## Properties
Formation enthalpy at 0 K ... -0.088 eV per atom
Space-group type ... F-43m
N(E_F) ... 7.7 states/eV/cell
VASP energy ... -4.220 eV per atom

Lattice parameters (Å, degrees): 5.503 5.503 5.503 60.00 60.00 60.00
Fractional coordinates of all 4 atoms:
Eu 0.750 0.750 0.750
Tb 0.250 0.250 0.250
Hg 0.000 0.000 0.000
Na 0.500 0.500 0.500



Entry 6:
Here is an optimized crystal structure of NaEuTmHg from Alexandria. Energies are from PBE.

## Properties
Formation enthalpy at 0 K ... -0.071 eV per atom
Space-group type ... F-43m
N(E_F) ... 6.7 states/eV/cell
VASP energy ... -4.162 eV per atom

Lattice parameters (Å, degrees): 5.459 5.459 5.459 60.00 60.00 60.00
Fractional coordinates of all 4 atoms:
Hg 0.000 0.000 0.000
Na 0.500 0.500 0.500
Tm 0.250 0.250 0.250
Eu 0.750 0.750 0.750